A geometry-optimized MnIr2Pb structure. Source: Alexandria via LeMat-Bulk, functional PBE-GGA.

## Properties
Energy of formation from the pure elements (kJ/mol of formula units): 344.8
Raw total energy (eV/atom): -6.757
Symmetry: I-42d, No. 122

Cell lengths 5.750, 5.750, 6.881 Å; angles 65.30, 65.30, 90.00 degrees
Element x y z (fractional)
1 Mn 0.500 0.500 0.000
2 Ir 0.192 0.625 0.250
3 Pb 0.750 0.250 0.500
4 Mn 0.250 0.750 0.500
5 Ir 0.875 0.808 0.750
6 Pb 0.000 0.000 0.000
7 Ir 0.375 0.442 0.750
8 Ir 0.558 0.125 0.250